# BeS

BeS after structural relaxation (GGA-PBE, Alexandria via LeMat-Bulk).

The value obtained for the total DFT energy (no corrections) is -9.719 eV per formula unit. Its density is 2.0 Mg/m³. The calculation puts the magnetic moment at 0.0 Bohr magnetons per cell. Its energy relative to the lowest polymorph listed for this composition is 135 meV/atom. The value obtained for the energy relative to the elements, uncorrected is -1.9 eV per formula unit. The calculation puts the density of states at the Fermi level at 0.000 states/eV per cell.

The space group is I4/m (No. 87) and the conventional cell measures 8.892, 8.892 and 3.442 Å, with angles of 90.00, 90.00 and 90.00 degrees. The asymmetric unit holds Be at (0.134, 0.706, 0.000) and S at (0.101, 0.279, 0.000).